[1]
Below is BeGaTeI2 after structural relaxation, with properties calculated at the PBE level.

Summary:
energy above the most stable polymorph in this dataset = 0 kJ/mol of formula units
space group = No. 123
energy relative to the elements, uncorrected = 7.4 kJ per mole of atoms

Unit cell a=5.400 b=5.400 c=5.051 alpha=90.00 beta=90.00 gamma=90.00
Element x y z (fractional)
Be 0.000 0.000 0.000
Ga 0.500 0.500 0.500
Te 0.000 0.000 0.500
I 0.000 0.500 0.000
I 0.500 0.000 0.000

=====

[2]
Below is BeGaTe2I after structural relaxation, with properties calculated at the PBE level.

Summary:
energy above the most stable polymorph in this dataset = 0 kJ/mol of formula units
space group = No. 123
energy relative to the elements, uncorrected = 18.3 kJ per mole of atoms

Unit cell a=5.030 b=5.030 c=5.552 alpha=90.00 beta=90.00 gamma=90.00
Element x y z (fractional)
Be 0.000 0.000 0.000
Ga 0.500 0.500 0.500
Te 0.000 0.500 0.000
Te 0.500 0.000 0.000
I 0.000 0.000 0.500

=====

[3]
Below is BeGaTeI2 after structural relaxation, with properties calculated at the PBE level.

Summary:
energy above the most stable polymorph in this dataset = 273 kJ/mol of formula units
space group = No. 123
energy relative to the elements, uncorrected = 62.1 kJ per mole of atoms

Unit cell a=5.560 b=5.560 c=5.532 alpha=90.00 beta=90.00 gamma=90.00
Element x y z (fractional)
Be 0.000 0.000 0.000
Ga 0.500 0.500 0.500
Te 0.500 0.500 0.000
I 0.000 0.500 0.500
I 0.500 0.000 0.500

=====

[4]
Below is YBeGaI2 after structural relaxation, with properties calculated at the PBE level.

Summary:
space group = No. 123
energy relative to the elements, uncorrected = 60.9 kJ per mole of atoms

Unit cell a=5.753 b=5.753 c=5.653 alpha=90.00 beta=90.00 gamma=90.00
Element x y z (fractional)
Y 0.000 0.000 0.000
Be 0.500 0.500 0.000
Ga 0.000 0.000 0.500
I 0.000 0.500 0.500
I 0.500 0.000 0.500

=====

[5]
Below is BeZnGa2I after structural relaxation, with properties calculated at the PBE level.

Summary:
space group = No. 123
energy relative to the elements, uncorrected = 98.3 kJ per mole of atoms

Unit cell a=5.985 b=5.985 c=4.808 alpha=90.00 beta=90.00 gamma=90.00
Element x y z (fractional)
Be 0.000 0.000 0.000
Zn 0.500 0.500 0.000
Ga 0.000 0.500 0.500
Ga 0.500 0.000 0.500
I 0.000 0.000 0.500

=====

[6]
Below is BeInGa after structural relaxation, with properties calculated at the PBE level.

Summary:
ΔH_f (0 K) = 0.152 eV per atom
space group = No. 11

Unit cell a=4.475 b=3.840 c=6.301 alpha=90.00 beta=96.40 gamma=90.00
Element x y z (fractional)
Be 0.125 0.250 0.023
Be 0.875 0.750 0.977
In 0.217 0.750 0.365
In 0.783 0.250 0.635
Ga 0.347 0.750 0.843
Ga 0.653 0.250 0.157

=====

[7]
Below is BeInGa after structural relaxation, with properties calculated at the PBE level.

Summary:
ΔH_f (0 K) = 0.195 eV per atom
space group = No. 62

Unit cell a=8.332 b=3.905 c=7.063 alpha=90.00 beta=90.00 gamma=90.00
Element x y z (fractional)
Be 0.016 0.250 0.071
Be 0.484 0.750 0.571
Be 0.516 0.250 0.429
Be 0.984 0.750 0.929
In 0.164 0.750 0.615
In 0.336 0.250 0.115
In 0.664 0.750 0.885
In 0.836 0.250 0.385
Ga 0.078 0.750 0.240
Ga 0.422 0.250 0.740
Ga 0.578 0.750 0.260
Ga 0.922 0.250 0.760

=====

[8]
Below is BeInGa3 after structural relaxation, with properties calculated at the PBE level.

Summary:
ΔH_f (0 K) = 1.014 eV per atom
energy above the most stable polymorph in this dataset = 381 kJ/mol of formula units
space group = No. 221

Unit cell a=5.270 b=5.270 c=5.270 alpha=90.00 beta=90.00 gamma=90.00
Element x y z (fractional)
Be 0.000 0.000 0.000
In 0.500 0.500 0.500
Ga 0.000 0.500 0.500
Ga 0.500 0.000 0.500
Ga 0.500 0.500 0.000

=====

[9]
Below is BeInGa2 after structural relaxation, with properties calculated at the PBE level.

Summary:
ΔH_f (0 K) = 0.419 eV per atom
energy above the most stable polymorph in this dataset = 69 kJ/mol of formula units
space group = No. 225

Unit cell a=6.701 b=6.701 c=6.701 alpha=90.00 beta=90.00 gamma=90.00
Element x y z (fractional)
Be 0.000 0.000 0.000
Be 0.000 0.500 0.500
Be 0.500 0.000 0.500
Be 0.500 0.500 0.000
In 0.000 0.000 0.500
In 0.000 0.500 0.000
In 0.500 0.000 0.000
In 0.500 0.500 0.500
Ga 0.250 0.250 0.250
Ga 0.250 0.250 0.750
Ga 0.250 0.750 0.250
Ga 0.250 0.750 0.750
Ga 0.750 0.250 0.250
Ga 0.750 0.250 0.750
Ga 0.750 0.750 0.250
Ga 0.750 0.750 0.750

=====

[10]
Below is BeInGa3 after structural relaxation, with properties calculated at the PBE level.

Summary:
ΔH_f (0 K) = 0.223 eV per atom
energy above the most stable polymorph in this dataset = 0 kJ/mol of formula units
space group = No. 221

Unit cell a=4.633 b=4.633 c=4.633 alpha=90.00 beta=90.00 gamma=90.00
Element x y z (fractional)
Be 0.000 0.000 0.000
In 0.500 0.500 0.500
Ga 0.000 0.000 0.500
Ga 0.000 0.500 0.000
Ga 0.500 0.000 0.000

=====

[11]
Below is BeIn2Ga after structural relaxation, with properties calculated at the PBE level.

Summary:
ΔH_f (0 K) = 0.410 eV per atom
energy above the most stable polymorph in this dataset = 18 kJ/mol of formula units
space group = No. 225

Unit cell a=6.911 b=6.911 c=6.911 alpha=90.00 beta=90.00 gamma=90.00
Element x y z (fractional)
Be 0.000 0.000 0.000
Be 0.000 0.500 0.500
Be 0.500 0.000 0.500
Be 0.500 0.500 0.000
In 0.250 0.250 0.250
In 0.250 0.250 0.750
In 0.250 0.750 0.250
In 0.250 0.750 0.750
In 0.750 0.250 0.250
In 0.750 0.250 0.750
In 0.750 0.750 0.250
In 0.750 0.750 0.750
Ga 0.000 0.000 0.500
Ga 0.000 0.500 0.000
Ga 0.500 0.000 0.000
Ga 0.500 0.500 0.500

=====

[12]
Below is BeInGa after structural relaxation, with properties calculated at the PBE level.

Summary:
ΔH_f (0 K) = 0.664 eV per atom
space group = No. 194

Unit cell a=3.928 b=3.928 c=10.786 alpha=90.00 beta=90.00 gamma=120.00
Element x y z (fractional)
Be 0.333 0.667 0.250
Be 0.667 0.333 0.750
In 0.000 0.000 0.000
In 0.000 0.000 0.500
Ga 0.000 0.000 0.250
Ga 0.000 0.000 0.750